[1]
A plane-wave DFT calculation with GGA-PBE was carried out for La8Hg4IrRh3 after structural relaxation.

Values from the calculation:
The total magnetic moment comes out at 0.00 μB/cell. Its calculated total energy is -5.105 eV per atom. As for the calculated formation energy: -0.633 eV per atom.

a b c (Å): 8.3171 9.3621 8.3423
angles (deg): 116.66 119.90 90.00
Sites, in units of the cell vectors:
La: 0.7670 0.2995 0.5339
La: 0.7337 0.7005 0.4675
La: 0.2650 0.2994 0.0318
La: 0.2332 0.7006 0.9682
Hg: 0.5000 0.0000 0.5000
Rh: 0.5000 0.5000 0.0000
Hg: 0.0000 0.0000 0.5000
La: 0.7668 0.2994 0.0318
Rh: 0.5000 0.5000 0.5000
Rh: 0.0000 0.5000 0.5000
Hg: 0.0000 0.0000 0.0000
Ir: 0.0000 0.5000 0.0000
La: 0.2663 0.2995 0.5325
La: 0.7350 0.7006 0.9682
La: 0.2330 0.7005 0.4661
Hg: 0.5000 0.0000 0.0000

[2]
A plane-wave DFT calculation with GGA-PBE was carried out for La8Hg3Ir3Rh after structural relaxation.

Values from the calculation:
The total magnetic moment comes out at 0.00 μB/cell. Its calculated total energy is -5.577 eV per atom. As for the calculated formation energy: -0.626 eV per atom.

a b c (Å): 8.4220 8.4192 9.2268
angles (deg): 117.21 89.98 119.96
Sites, in units of the cell vectors:
Ir: 0.5000 0.0000 0.5000
La: 0.7329 0.4658 0.6988
Rh: 0.0000 0.0000 0.5000
La: 0.2671 0.5342 0.3012
Hg: 0.0000 0.0000 0.0000
La: 0.7673 0.5346 0.3003
La: 0.2325 0.9671 0.6996
Hg: 0.0000 0.5000 0.0000
Ir: 0.5000 0.5000 0.5000
La: 0.7675 0.0329 0.3004
La: 0.2655 0.0329 0.3003
Hg: 0.5000 0.5000 0.0000
La: 0.2327 0.4654 0.6997
La: 0.7345 0.9671 0.6997
Ir: 0.0000 0.5000 0.5000

[3]
A plane-wave DFT calculation with GGA-PBE was carried out for La4Hg2IrRh after structural relaxation.

Values from the calculation:
The total magnetic moment comes out at 0.00 μB/cell. Its calculated total energy is -5.206 eV per atom. As for the calculated formation energy: -0.641 eV per atom.

a b c (Å): 4.1768 7.2324 8.3579
angles (deg): 106.83 90.00 90.00
Sites, in units of the cell vectors:
La: 0.5000 0.2342 0.2000
Hg: 0.5000 0.0000 0.5000
La: 0.0000 0.2686 0.8002
Hg: 0.0000 0.5000 0.5000
La: 0.0000 0.7314 0.1998
Rh: 0.0000 0.0000 0.0000
La: 0.5000 0.7658 0.8000
Ir: 0.5000 0.5000 0.0000

[4]
A plane-wave DFT calculation with GGA-PBE was carried out for La8Hg3Ir3Ru after structural relaxation.

Values from the calculation:
The total magnetic moment comes out at 0.00 μB/cell. Its calculated total energy is -5.639 eV per atom. As for the calculated formation energy: -0.560 eV per atom.

a b c (Å): 8.4199 8.4171 9.2244
angles (deg): 117.18 89.99 119.95
Sites, in units of the cell vectors:
La: 0.2676 0.5354 0.3033
Hg: 0.0000 0.5000 0.0000
Ir: 0.5000 0.0000 0.5000
Hg: 0.0000 0.0000 0.0000
La: 0.7324 0.4646 0.6967
La: 0.2613 0.0320 0.3028
La: 0.2295 0.9680 0.6971
Ir: 0.0000 0.5000 0.5000
La: 0.2296 0.4591 0.6974
Hg: 0.5000 0.5000 0.0000
Ir: 0.5000 0.5000 0.5000
La: 0.7387 0.9680 0.6972
La: 0.7705 0.0320 0.3029
La: 0.7704 0.5409 0.3026
Ru: 0.0000 0.0000 0.5000

[5]
A plane-wave DFT calculation with GGA-PBE was carried out for La6Hg3Ir2Ru after structural relaxation.

Values from the calculation:
The total magnetic moment comes out at 0.00 μB/cell. Its calculated total energy is -5.339 eV per atom. As for the calculated formation energy: -0.550 eV per atom.

a b c (Å): 7.2419 7.2419 8.3460
angles (deg): 98.31 98.31 119.98
Sites, in units of the cell vectors:
Ru: 0.0000 0.0000 0.0000
Ir: 0.6656 0.3344 0.0000
Ir: 0.3344 0.6656 0.0000
La: 0.0646 0.3935 0.1941
La: 0.9354 0.6065 0.8059
La: 0.6065 0.9354 0.8059
La: 0.2629 0.2629 0.8015
Hg: 0.8267 0.1733 0.5000
La: 0.7371 0.7371 0.1985
Hg: 0.1733 0.8267 0.5000
Hg: 0.5000 0.5000 0.5000
La: 0.3935 0.0646 0.1941

[6]
A plane-wave DFT calculation with GGA-PBE was carried out for La2SnHgIr after structural relaxation.

Values from the calculation:
The total magnetic moment comes out at 0.00 μB/cell. Its calculated total energy is -5.267 eV per atom. As for the calculated formation energy: -0.663 eV per atom.

a b c (Å): 4.4969 8.1885 7.9767
angles (deg): 111.00 90.00 90.00
Sites, in units of the cell vectors:
La: 0.7500 0.8873 0.6666
Ir: 0.7500 0.1197 0.0978
La: 0.7500 0.7222 0.0327
Ir: 0.2500 0.8803 0.9022
La: 0.2500 0.2778 0.9673
Hg: 0.7500 0.3004 0.6741
Sn: 0.7500 0.4528 0.3367
Hg: 0.2500 0.6996 0.3259
La: 0.2500 0.1127 0.3334
Sn: 0.2500 0.5472 0.6633